# Zn2Mo2O, relaxed, DFT PBE+U
data_Zn2Mo2O
_chemical_formula_sum 'Zn4 Mo4 O2'
_cell_length_a 5.627
_cell_length_b 5.627
_cell_length_c 4.710
_cell_angle_alpha 90.00
_cell_angle_beta 90.00
_cell_angle_gamma 90.00
_symmetry_space_group_name_H-M 'P 4/m b m'
_symmetry_Int_Tables_number 127
_symmetry_space_group_name_Hall '-P 4 2ab'
loop_
_atom_site_label
_atom_site_fract_x
_atom_site_fract_y
_atom_site_fract_z
Zn1 0.154 0.346 0.000
Mo1 0.164 0.664 0.500
O1 0.000 0.000 0.000
# ΔE to the lowest computed polymorph = 0.0000 eV per atom
# mass density = 7.54 g cm⁻³
# DOS(E_F) = 1.64 states/eV/f.u.
# calculated total energy = -3.4523 eV per atom